one) The following is a PBE calculation of a relaxed SrNiRu3 crystal, from the Alexandria database.

Its volume is 99.4 Å³/cell. Its total moment is 5.3 μB per formula unit.

The structure belongs to space group Pm-3m (No. 221); the cell edges are 4.633, 4.633 and 4.633 Å and the angles 90.00°, 90.00° and 90.00°. The distinct sites, in fractional coordinates, are Sr at (0.000, 0.000, 0.000), Ni at (0.500, 0.500, 0.500) and Ru at (0.000, 0.500, 0.500).

two) The following is a PBE calculation of a relaxed SrNiRu3 crystal, from the Alexandria database.

Its volume is 112.9 Å³/cell. Its total moment is 5.5 μB per formula unit.

The structure belongs to space group Pm-3m (No. 221); the cell edges are 4.833, 4.833 and 4.833 Å and the angles 90.00°, 90.00° and 90.00°. The distinct sites, in fractional coordinates, are Sr at (0.000, 0.000, 0.000), Ni at (0.500, 0.500, 0.500) and Ru at (0.000, 0.000, 0.500).

Among the structures above, stability is smallest for two).